Cs2VPdF6 | PBE+U | optimized geometry

Calculated total energy ... -99.0 eV per cell

Unit cell a=6.6032 b=6.6032 c=8.4744 alpha=90.00 beta=90.00 gamma=90.00
With the nearest neighbours (Å) after each atom.
Space group I4/mmm (No. 139)
Asymmetric unit:
Cs 0.0000 0.5000 0.2500  12 F 3.17-3.30
V 0.0000 0.0000 0.0000  6 F 1.96-2.07
Pd 0.0000 0.0000 0.5000  2 F 2.17
F 0.0000 0.0000 0.2442  1 V 2.07, 1 Pd 2.17
F 0.2097 0.2097 0.0000  1 V 1.96